Material: CdHgS2
Method: DFT, PBE
State: optimized geometry

Output
electronic total energy: -2.591 eV/atom
crystal system: tetragonal
total moment: 0.00 μB per formula unit
ρ: 7.36 g cm⁻³
energy relative to the elements, uncorrected: -223 meV per atom
V: 170 Å³ per cell
energy above the lowest structure with this stoichiometry: 160.1 meV/atom

abc: 5.4814 5.4814 6.8633
angles: 66.46 66.46 90.00
Positions (direct):
Hg 0.7500 0.2500 0.5000
Hg 0.0000 0.0000 0.0000
S 0.0071 0.5071 0.9858
S 0.2571 0.2571 0.4858
S 0.4929 0.9929 0.0142
S 0.7429 0.7429 0.5142
Cd 0.5000 0.5000 0.0000
Cd 0.2500 0.7500 0.5000